# TlAgBi2, relaxed, DFT PBE
# Total magnetic moment: 0.00 μB/cell
# Fermi-level density of states: 6.32 states/eV/cell
# ΔE_f: 132 meV per atom
# Crystal system: tetragonal
# E_tot: -49.798 eV for the cell shown
data_TlAgBi2
_cell_length_a 4.7483
_cell_length_b 4.7483
_cell_length_c 21.9698
_cell_angle_alpha 90.00
_cell_angle_beta 90.00
_cell_angle_gamma 90.00
_symmetry_space_group_name_H-M 'I -4 2 d'
_symmetry_Int_Tables_number 122
_symmetry_space_group_name_Hall 'I -4 2bw'
loop_
_atom_site_label
_atom_site_type_symbol
_atom_site_fract_x
_atom_site_fract_y
_atom_site_fract_z
Tl1 Tl 0.0000 0.0000 0.0000
Ag1 Ag 0.0000 0.0000 0.5000
Bi1 Bi 0.2137 0.2500 0.6250

=====

# Tl2HPdSe2, relaxed, DFT PBE
# Total magnetic moment: 0.00 μB/cell
# Fermi-level density of states: 15.99 states/eV/cell
# Crystal system: orthorhombic
# E_tot: -80.298 eV for the cell shown
data_Tl2HPdSe2
_cell_length_a 6.3138
_cell_length_b 14.4437
_cell_length_c 5.7978
_cell_angle_alpha 90.00
_cell_angle_beta 90.00
_cell_angle_gamma 90.00
_symmetry_space_group_name_H-M 'I b a m'
_symmetry_Int_Tables_number 72
_symmetry_space_group_name_Hall '-I 2 2c'
loop_
_atom_site_label
_atom_site_type_symbol
_atom_site_fract_x
_atom_site_fract_y
_atom_site_fract_z
Tl1 Tl 0.2224 0.1700 0.0000
H1 H 0.0000 0.5000 0.2500
Pd1 Pd 0.0000 0.0000 0.2500
Se1 Se 0.2019 0.4247 0.0000

=====

# CeSe6Cl12, relaxed, DFT PBE
# Total magnetic moment: 0.00 μB/cell
# Formation energy (no corrections): -0.5740 eV per atom
# Crystal system: trigonal
# E_tot: -179.719 eV for the cell shown
data_CeSe6Cl12
_cell_length_a 10.5926
_cell_length_b 10.5926
_cell_length_c 21.2198
_cell_angle_alpha 90.00
_cell_angle_beta 90.00
_cell_angle_gamma 120.00
_symmetry_space_group_name_H-M 'R -3'
_symmetry_Int_Tables_number 148
_symmetry_space_group_name_Hall '-R 3'
loop_
_atom_site_label
_atom_site_type_symbol
_atom_site_fract_x
_atom_site_fract_y
_atom_site_fract_z
Ce1 Ce 0.0000 0.0000 0.0000
Se1 Se 0.0451 0.8905 0.6631
Cl1 Cl 0.0442 0.2565 0.2529
Cl2 Cl 0.0472 0.2288 0.0688

=====

# AsS3F, relaxed, DFT PBE
# Total magnetic moment: 0.00 μB/cell
# Formation energy (no corrections): 0.9678 eV per atom
# Fermi-level density of states: 4.73 states/eV/cell
# E above lowest polymorph: 284 meV/atom
# Crystal system: cubic
# E_tot: -14.064 eV for the cell shown
data_AsS3F
_cell_length_a 4.3964
_cell_length_b 4.3964
_cell_length_c 4.3964
_cell_angle_alpha 90.00
_cell_angle_beta 90.00
_cell_angle_gamma 90.00
_symmetry_space_group_name_H-M 'P m -3 m'
_symmetry_Int_Tables_number 221
_symmetry_space_group_name_Hall '-P 4 2 3'
loop_
_atom_site_label
_atom_site_type_symbol
_atom_site_fract_x
_atom_site_fract_y
_atom_site_fract_z
As1 As 0.0000 0.0000 0.0000
S1 S 0.0000 0.5000 0.5000
F1 F 0.5000 0.5000 0.5000

=====

# PrBi2RhO8, relaxed, DFT PBE
# Total magnetic moment: 1.06 μB/cell
# Formation energy (no corrections): -1.2894 eV per atom
# Fermi-level density of states: 5.25 states/eV/cell
# Crystal system: monoclinic
# E_tot: -75.031 eV for the cell shown
data_PrBi2RhO8
_cell_length_a 5.0653
_cell_length_b 6.9333
_cell_length_c 5.0679
_cell_angle_alpha 90.00
_cell_angle_beta 91.36
_cell_angle_gamma 90.00
_symmetry_space_group_name_H-M 'P 1 2/m 1'
_symmetry_Int_Tables_number 10
loop_
_symmetry_equiv_pos_as_xyz
'x,y,z'
'-x,-y,-z'
'-x,y,-z'
'x,-y,z'
loop_
_atom_site_label
_atom_site_type_symbol
_atom_site_fract_x
_atom_site_fract_y
_atom_site_fract_z
Pr1 Pr 0.0000 0.0000 0.0000
Bi1 Bi 0.5000 0.2596 0.5000
Rh1 Rh 0.0000 0.5000 0.0000
O1 O 0.1947 0.2820 0.1841
O2 O 0.2693 0.5000 0.7190
O3 O 0.3174 0.0000 0.6706

=====

# NaVCoBr2, relaxed, DFT PBE
# Total magnetic moment: 0.00 μB/cell
# Formation energy (no corrections): 0.1317 eV per atom
# Fermi-level density of states: 4.84 states/eV/cell
# Crystal system: tetragonal
# E_tot: -20.231 eV for the cell shown
data_NaVCoBr2
_cell_length_a 5.1330
_cell_length_b 5.1330
_cell_length_c 4.3214
_cell_angle_alpha 90.00
_cell_angle_beta 90.00
_cell_angle_gamma 90.00
_symmetry_space_group_name_H-M 'P 4/m m m'
_symmetry_Int_Tables_number 123
_symmetry_space_group_name_Hall '-P 4 2'
loop_
_atom_site_label
_atom_site_type_symbol
_atom_site_fract_x
_atom_site_fract_y
_atom_site_fract_z
Na1 Na 0.0000 0.0000 0.0000
V1 V 0.5000 0.5000 0.5000
Co1 Co 0.5000 0.5000 0.0000
Br1 Br 0.0000 0.5000 0.5000

=====

# AlGePtI2, relaxed, DFT PBE
# Total magnetic moment: 0.75 μB/cell
# Formation energy (no corrections): 0.3559 eV per atom
# Fermi-level density of states: 3.00 states/eV/cell
# Crystal system: tetragonal
# E_tot: -15.721 eV for the cell shown
data_AlGePtI2
_cell_length_a 5.6195
_cell_length_b 5.6195
_cell_length_c 4.7653
_cell_angle_alpha 90.00
_cell_angle_beta 90.00
_cell_angle_gamma 90.00
_symmetry_space_group_name_H-M 'P 4/m m m'
_symmetry_Int_Tables_number 123
_symmetry_space_group_name_Hall '-P 4 2'
loop_
_atom_site_label
_atom_site_type_symbol
_atom_site_fract_x
_atom_site_fract_y
_atom_site_fract_z
Al1 Al 0.0000 0.0000 0.0000
Ge1 Ge 0.5000 0.5000 0.0000
Pt1 Pt 0.0000 0.0000 0.5000
I1 I 0.0000 0.5000 0.5000

=====

# La3As4Pt4, relaxed, DFT PBE
# Total magnetic moment: 0.00 μB/cell
# Fermi-level density of states: 11.39 states/eV/cell
# ΔE_f: -1092 meV per atom
# Crystal system: orthorhombic
# E_tot: -139.111 eV for the cell shown
data_La3As4Pt4
_cell_length_a 4.2822
_cell_length_b 4.4001
_cell_length_c 25.3129
_cell_angle_alpha 90.00
_cell_angle_beta 90.00
_cell_angle_gamma 90.00
_symmetry_space_group_name_H-M 'I m m m'
_symmetry_Int_Tables_number 71
_symmetry_space_group_name_Hall '-I 2 2'
loop_
_atom_site_label
_atom_site_type_symbol
_atom_site_fract_x
_atom_site_fract_y
_atom_site_fract_z
La1 La 0.0000 0.0000 0.0000
La2 La 0.0000 0.5000 0.1510
As1 As 0.0000 0.0000 0.4484
As2 As 0.0000 0.5000 0.3063
Pt1 Pt 0.0000 0.0000 0.2535
Pt2 Pt 0.0000 0.5000 0.4050

=====

# LaHf2TeBr, relaxed, DFT PBE
# Total magnetic moment: 0.32 μB/cell
# Formation energy (no corrections): 0.5063 eV per atom
# Fermi-level density of states: 5.46 states/eV/cell
# Crystal system: tetragonal
# E_tot: -27.117 eV for the cell shown
data_LaHf2TeBr
_cell_length_a 5.2482
_cell_length_b 5.2482
_cell_length_c 6.3179
_cell_angle_alpha 90.00
_cell_angle_beta 90.00
_cell_angle_gamma 90.00
_symmetry_space_group_name_H-M 'P 4/m m m'
_symmetry_Int_Tables_number 123
_symmetry_space_group_name_Hall '-P 4 2'
loop_
_atom_site_label
_atom_site_type_symbol
_atom_site_fract_x
_atom_site_fract_y
_atom_site_fract_z
La1 La 0.0000 0.0000 0.0000
Hf1 Hf 0.0000 0.5000 0.5000
Te1 Te 0.5000 0.5000 0.5000
Br1 Br 0.5000 0.5000 0.0000

=====

# Dy3HgP2Rh9, relaxed, DFT PBE
# Total magnetic moment: 0.00 μB/cell
# Fermi-level density of states: 14.06 states/eV/cell
# ΔE_f: -559 meV per atom
# Crystal system: trigonal
# E_tot: -99.479 eV for the cell shown
data_Dy3HgP2Rh9
_cell_length_a 6.0257
_cell_length_b 6.0257
_cell_length_c 9.5971
_cell_angle_alpha 90.00
_cell_angle_beta 90.00
_cell_angle_gamma 120.00
_symmetry_space_group_name_H-M 'P -3 m 1'
_symmetry_Int_Tables_number 164
_symmetry_space_group_name_Hall '-P 3 2"'
loop_
_atom_site_label
_atom_site_type_symbol
_atom_site_fract_x
_atom_site_fract_y
_atom_site_fract_z
Dy1 Dy 0.0000 0.0000 0.0000
Dy2 Dy 0.3333 0.6667 0.7367
Hg1 Hg 0.0000 0.0000 0.5000
P1 P 0.3333 0.6667 0.1572
Rh1 Rh 0.0000 0.5000 0.0000
Rh2 Rh 0.1478 0.2956 0.2580

=====

# TbNd12Tm6, relaxed, DFT PBE
# Total magnetic moment: 0.00 μB/cell
# Fermi-level density of states: 96.96 states/eV/cell
# ΔE_f: 131 meV per atom
# E above lowest polymorph: 113 meV/atom
# Crystal system: trigonal
# E_tot: -258.540 eV for the cell shown
data_TbNd12Tm6
_cell_length_a 12.1196
_cell_length_b 12.1196
_cell_length_c 15.2992
_cell_angle_alpha 90.00
_cell_angle_beta 90.00
_cell_angle_gamma 120.00
_symmetry_space_group_name_H-M 'R -3'
_symmetry_Int_Tables_number 148
_symmetry_space_group_name_Hall '-R 3'
loop_
_atom_site_label
_atom_site_type_symbol
_atom_site_fract_x
_atom_site_fract_y
_atom_site_fract_z
Tb1 Tb 0.0000 0.0000 0.0000
Nd1 Nd 0.0023 0.1742 0.1919
Nd2 Nd 0.0476 0.1983 0.4161
Tm1 Tm 0.0165 0.5872 0.6873

=====

# Mg3AgSe4O12, relaxed, DFT PBE
# Total magnetic moment: 0.00 μB/cell
# Formation energy (no corrections): -0.9445 eV per atom
# Fermi-level density of states: 20.54 states/eV/cell
# Crystal system: trigonal
# E_tot: -299.885 eV for the cell shown
data_Mg3AgSe4O12
_cell_length_a 10.6566
_cell_length_b 10.6566
_cell_length_c 8.0823
_cell_angle_alpha 90.00
_cell_angle_beta 90.00
_cell_angle_gamma 120.00
_symmetry_space_group_name_H-M 'R 3 2'
_symmetry_Int_Tables_number 155
_symmetry_space_group_name_Hall 'R 3 2"'
loop_
_atom_site_label
_atom_site_type_symbol
_atom_site_fract_x
_atom_site_fract_y
_atom_site_fract_z
Mg1 Mg 0.0000 0.5763 0.0000
Ag1 Ag 0.0000 0.0000 0.0000
Se1 Se 0.0000 0.0000 0.5000
Se2 Se 0.0000 0.4084 0.5000
O1 O 0.0000 0.5691 0.5000
O2 O 0.0000 0.8284 0.5000
O3 O 0.0457 0.1894 0.2048

=====

> What is the formula in the seventh record?

AlGePtI2

=====

> Which of these has the highest E_tot?

AsS3F

=====

> Look up the total magnetic moment of the third one.

0.00 μB/cell

=====

> Which formula does entry 9 have?

LaHf2TeBr